# 1
Compound: TaCo2
Source: OQMD via LeMat-Bulk
Functional: GGA-PBE
Structure: optimized geometry

The space group is P6_3/mmc (No. 194) and the conventional cell measures 4.8731, 4.8731 and 15.4404 Å, with angles of 90.00, 90.00 and 120.00 degrees. The inequivalent atoms are Ta at (0.0000, 0.0000, 0.0909), Ta at (0.3333, 0.6667, 0.1296), Co at (0.0000, 0.5000, 0.0000), Co at (0.1543, 0.3085, 0.2500) and Co at (0.3333, 0.6667, 0.6554).

The value obtained for the volume is 13.23 Å³/atom. The energy is -8.6457 eV per atom.

# 2
Compound: NiSnHgW
Source: OQMD via LeMat-Bulk
Functional: GGA-PBE
Structure: optimized geometry

The space group is F-43m (No. 216) and the conventional cell measures 6.6102, 6.6102 and 6.6102 Å, with angles of 90.00, 90.00 and 90.00 degrees. The inequivalent atoms are Ni at (0.0000, 0.0000, 0.0000), Sn at (0.2500, 0.2500, 0.7500), Hg at (0.0000, 0.0000, 0.5000) and W at (0.2500, 0.2500, 0.2500).

The value obtained for the volume is 18.05 Å³/atom. The energy is -4.8082 eV per atom.

# 3
Compound: PrFe
Source: OQMD via LeMat-Bulk
Functional: GGA-PBE
Structure: optimized geometry

The space group is Fm-3m (No. 225) and the conventional cell measures 5.7831, 5.7831 and 5.7831 Å, with angles of 90.00, 90.00 and 90.00 degrees. The inequivalent atoms are Pr at (0.0000, 0.0000, 0.0000) and Fe at (0.0000, 0.0000, 0.5000).

The value obtained for the volume is 24.18 Å³/atom. The energy is -5.8995 eV per atom.

# 4
Compound: NbAlW
Source: OQMD via LeMat-Bulk
Functional: GGA-PBE
Structure: optimized geometry

The space group is F-43m (No. 216) and the conventional cell measures 6.0854, 6.0854 and 6.0854 Å, with angles of 90.00, 90.00 and 90.00 degrees. The inequivalent atoms are Nb at (0.0000, 0.0000, 0.0000), Al at (0.2500, 0.2500, 0.2500) and W at (0.0000, 0.0000, 0.5000).

The value obtained for the volume is 18.78 Å³/atom. The energy is -8.2016 eV per atom.

# 5
Compound: Pr
Source: OQMD via LeMat-Bulk
Functional: GGA-PBE
Structure: optimized geometry

The space group is P6_3/mmc (No. 194) and the conventional cell measures 3.7218, 3.7218 and 11.9738 Å, with angles of 90.00, 90.00 and 120.00 degrees. The inequivalent atoms are Pr at (0.0000, 0.0000, 0.0000) and Pr at (0.3333, 0.6667, 0.2500).

The value obtained for the volume is 35.91 Å³/atom. The energy is -4.7748 eV per atom.

# 6
Compound: Nd2Y2CI2Br2Cl
Source: OQMD via LeMat-Bulk
Functional: GGA-PBE
Structure: optimized geometry

The space group is C2/m (No. 12) and the conventional cell measures 18.7618, 3.8889 and 8.1961 Å, with angles of 90.00, 102.24 and 90.00 degrees. The inequivalent atoms are Nd at (0.1374, 0.0000, 0.0738), Y at (0.0010, 0.5000, 0.7960), C at (0.0000, 0.0000, 0.0000), I at (0.1693, 0.5000, 0.7951), Br at (0.1535, 0.5000, 0.3498) and Cl at (0.0000, 0.0000, 0.5000).

The value obtained for the volume is 29.22 Å³/atom. The energy is -5.3340 eV per atom.

# 7
Compound: TaBeCoHg
Source: OQMD via LeMat-Bulk
Functional: GGA-PBE
Structure: optimized geometry

The space group is F-43m (No. 216) and the conventional cell measures 6.0654, 6.0654 and 6.0654 Å, with angles of 90.00, 90.00 and 90.00 degrees. The inequivalent atoms are Ta at (0.0000, 0.0000, 0.0000), Be at (0.2500, 0.2500, 0.7500), Co at (0.2500, 0.2500, 0.2500) and Hg at (0.0000, 0.0000, 0.5000).

The value obtained for the volume is 13.95 Å³/atom. The energy is -5.5397 eV per atom.

# 8
Compound: CuNi2W
Source: OQMD via LeMat-Bulk
Functional: GGA-PBE
Structure: optimized geometry

The space group is F-43m (No. 216) and the conventional cell measures 5.8071, 5.8071 and 5.8071 Å, with angles of 90.00, 90.00 and 90.00 degrees. The inequivalent atoms are Cu at (0.0000, 0.0000, 0.0000), Ni at (0.0000, 0.0000, 0.5000), Ni at (0.2500, 0.2500, 0.2500) and W at (0.2500, 0.2500, 0.7500).

The value obtained for the volume is 12.24 Å³/atom. The energy is -6.7550 eV per atom.

# 9
Compound: Pr2Gd2SiF5
Source: OQMD via LeMat-Bulk
Functional: GGA-PBE
Structure: optimized geometry

The space group is C2/m (No. 12) and the conventional cell measures 14.4299, 3.9850 and 7.2082 Å, with angles of 90.00, 119.15 and 90.00 degrees. The inequivalent atoms are Pr at (0.0000, 0.0000, 0.2227), Gd at (0.2186, 0.5000, 0.7185), Si at (0.0000, 0.5000, 0.5000), F at (0.0000, 0.5000, 0.0000), F at (0.2049, 0.0000, 0.5176) and F at (0.2063, 0.0000, 0.8907).

The value obtained for the volume is 18.10 Å³/atom. The energy is -5.9788 eV per atom.

# 10
Compound: GdAgS2
Source: OQMD via LeMat-Bulk
Functional: GGA-PBE
Structure: optimized geometry

The space group is Pna2_1 (No. 33) and the conventional cell measures 7.6994, 8.6148 and 6.5585 Å, with angles of 90.00, 90.00 and 90.00 degrees. The inequivalent atoms are Gd at (0.1028, 0.1280, 0.0000), Ag at (0.1020, 0.6292, 0.0019), S at (0.0670, 0.6199, 0.3943) and S at (0.0756, 0.1235, 0.4023).

The value obtained for the volume is 27.19 Å³/atom. The energy is -5.1113 eV per atom.

# 11
Compound: La2LuAl7Ag2
Source: OQMD via LeMat-Bulk
Functional: GGA-PBE
Structure: optimized geometry

The space group is R-3m (No. 166, hexagonal axes) and the conventional cell measures 5.6354, 5.6354 and 26.8352 Å, with angles of 90.00, 90.00 and 120.00 degrees. The inequivalent atoms are La at (0.0000, 0.0000, 0.1423), Lu at (0.0000, 0.0000, 0.0000), Al at (0.0000, 0.0000, 0.5000), Al at (0.0072, 0.5036, 0.9192) and Ag at (0.0000, 0.0000, 0.3360).

The value obtained for the volume is 20.50 Å³/atom. The energy is -4.2504 eV per atom.

# 12
Compound: Hf3Al3CuIr2
Source: OQMD via LeMat-Bulk
Functional: GGA-PBE
Structure: optimized geometry

The space group is P-62m (No. 189) and the conventional cell measures 7.1152, 7.1152 and 3.4510 Å, with angles of 90.00, 90.00 and 120.00 degrees. The inequivalent atoms are Hf at (0.0000, 0.5956, 0.0000), Al at (0.0000, 0.2546, 0.5000), Cu at (0.0000, 0.0000, 0.0000) and Ir at (0.3333, 0.6667, 0.5000).

The value obtained for the volume is 16.81 Å³/atom. The energy is -7.7038 eV per atom.